# 1
Density functional theory data (PBE-GGA) for a relaxed TcHgRu2 crystal.

Calculated volume in Å³/f.u.: 62.8
Theoretical density in g/cm3: 13.24
Energy relative to the elements in eV per atom: 0.350
Symmetry: No. 160
Total moment in μB/f.u.: 0.00
Fermi-level density of states in states/eV per cell: 11.932

Geometry as extended XYZ:
```
12
Lattice="2.805 0.000 0.000 -1.403 2.430 0.000 0.000 0.000 27.646" Properties=species:S:1:pos:R:3 pbc="T T T"
Tc 0.000 0.000 0.000
Tc 0.000 1.620 18.431
Tc 1.403 0.810 9.215
Hg 0.000 0.000 6.686
Hg 0.000 1.620 25.116
Hg 1.403 0.810 15.901
Ru 0.000 0.000 13.425
Ru 0.000 0.000 20.515
Ru 0.000 1.620 4.209
Ru 0.000 1.620 11.300
Ru 1.403 0.810 2.084
Ru 1.403 0.810 22.640
```



# 2
Density functional theory data (PBE-GGA) for a relaxed TcHgRu2 crystal.

Calculated volume in Å³/f.u.: 63.9
Theoretical density in g/cm3: 13.00
Energy relative to the elements in eV per atom: 0.733
Symmetry: No. 216
Total moment in μB/f.u.: 2.49
Fermi-level density of states in states/eV per cell: 16.138

Geometry as extended XYZ:
```
16
Lattice="6.348 0.000 0.000 0.000 6.348 0.000 0.000 0.000 6.348" Properties=species:S:1:pos:R:3 pbc="T T T"
Tc 0.000 0.000 0.000
Tc 0.000 3.174 3.174
Tc 3.174 0.000 3.174
Tc 3.174 3.174 0.000
Hg 1.587 1.587 1.587
Hg 1.587 4.761 4.761
Hg 4.761 1.587 4.761
Hg 4.761 4.761 1.587
Ru 0.000 0.000 3.174
Ru 0.000 3.174 0.000
Ru 1.587 1.587 4.761
Ru 1.587 4.761 1.587
Ru 3.174 0.000 0.000
Ru 3.174 3.174 3.174
Ru 4.761 1.587 1.587
Ru 4.761 4.761 4.761
```



# 3
Density functional theory data (PBE-GGA) for a relaxed TcHgRu2 crystal.

Calculated volume in Å³/f.u.: 63.0
Theoretical density in g/cm3: 13.20
Energy relative to the elements in eV per atom: 0.442
Symmetry: No. 12
Total moment in μB/f.u.: 0.00
Fermi-level density of states in states/eV per cell: 9.882

Geometry as extended XYZ:
```
8
Lattice="9.175 0.000 0.000 0.000 2.815 0.000 -0.877 0.000 4.880" Properties=species:S:1:pos:R:3 pbc="T T T"
Tc 0.000 0.000 0.000
Tc 4.587 1.407 0.000
Hg -0.438 1.407 2.440
Hg 4.149 0.000 2.440
Ru 2.005 1.407 1.059
Ru 1.705 0.000 3.821
Ru 6.593 0.000 1.059
Ru 6.293 1.407 3.821
```



# 4
Density functional theory data (PBE-GGA) for a relaxed TcHgRu2 crystal.

Calculated volume in Å³/f.u.: 63.4
Theoretical density in g/cm3: 13.12
Energy relative to the elements in eV per atom: 0.746
Symmetry: No. 47
Total moment in μB/f.u.: 0.02
Fermi-level density of states in states/eV per cell: 6.230

Geometry as extended XYZ:
```
4
Lattice="2.866 0.000 0.000 0.000 4.641 0.000 0.000 0.000 4.765" Properties=species:S:1:pos:R:3 pbc="T T T"
Tc 0.000 0.000 0.000
Hg 1.433 0.000 2.383
Ru 0.000 2.320 2.383
Ru 1.433 2.320 0.000
```



# 5
Density functional theory data (PBE-GGA) for a relaxed TcHgRu2 crystal.

Calculated volume in Å³/f.u.: 62.8
Theoretical density in g/cm3: 13.25
Energy relative to the elements in eV per atom: 0.626
Symmetry: No. 123
Total moment in μB/f.u.: 2.24
Fermi-level density of states in states/eV per cell: 5.678

Geometry as extended XYZ:
```
4
Lattice="4.035 0.000 0.000 0.000 4.035 0.000 0.000 0.000 3.854" Properties=species:S:1:pos:R:3 pbc="T T T"
Tc 0.000 0.000 0.000
Hg 2.018 2.018 0.000
Ru 0.000 2.018 1.927
Ru 2.018 0.000 1.927
```



# 6
Density functional theory data (PBE-GGA) for a relaxed TcHgRu2 crystal.

Calculated volume in Å³/f.u.: 62.2
Theoretical density in g/cm3: 13.38
Energy relative to the elements in eV per atom: 0.543
Symmetry: No. 119
Total moment in μB/f.u.: 0.00
Fermi-level density of states in states/eV per cell: 11.872

Geometry as extended XYZ:
```
8
Lattice="3.866 0.000 0.000 0.000 3.866 0.000 0.000 0.000 8.316" Properties=species:S:1:pos:R:3 pbc="T T T"
Tc 0.000 0.000 0.000
Tc 1.933 1.933 4.158
Hg 0.000 1.933 6.237
Hg 1.933 0.000 2.079
Ru 0.000 0.000 4.158
Ru 0.000 1.933 2.079
Ru 1.933 0.000 6.237
Ru 1.933 1.933 0.000
```



# 7
Density functional theory data (PBE-GGA) for a relaxed TcHgRu3 crystal.

Energy relative to the lowest polymorph listed for this composition in kJ per mole of atoms: 0.0
Calculated volume in Å³/f.u.: 100.5
Theoretical density in g/cm3: 9.94
Energy relative to the elements in eV per atom: 1.522
Symmetry: No. 221
Total moment in μB/f.u.: 0.27
Fermi-level density of states in states/eV per cell: 7.556

Geometry as extended XYZ:
```
5
Lattice="4.650 0.000 0.000 0.000 4.650 0.000 0.000 0.000 4.650" Properties=species:S:1:pos:R:3 pbc="T T T"
Tc 0.000 0.000 0.000
Hg 2.325 2.325 2.325
Ru 0.000 0.000 2.325
Ru 0.000 2.325 0.000
Ru 2.325 0.000 0.000
```



# 8
Density functional theory data (PBE-GGA) for a relaxed TcHgRu2 crystal.

Calculated volume in Å³/f.u.: 62.8
Theoretical density in g/cm3: 13.23
Energy relative to the elements in eV per atom: 0.383
Symmetry: No. 99
Total moment in μB/f.u.: 0.00
Fermi-level density of states in states/eV per cell: 5.802

Geometry as extended XYZ:
```
4
Lattice="2.794 0.000 0.000 0.000 2.794 0.000 0.000 0.000 8.048" Properties=species:S:1:pos:R:3 pbc="T T T"
Tc 0.000 0.000 0.000
Hg 1.397 1.397 2.249
Ru 0.000 0.000 4.436
Ru 1.397 1.397 6.239
```